(1)
Crystalline La2TbEr at its relaxed geometry. Source: Alexandria via LeMat-Bulk, functional PBE-GGA.

Energy of formation = 25 meV/atom
Electronic total energy = -4.7369 eV per atom
Magnetization = 0.000 μB per atom

The structure in CIF format:
```
data_La2TbEr
_symmetry_space_group_name_H-M 'P 1'
_symmetry_Int_Tables_number 1
_cell_length_a 3.7074
_cell_length_b 3.7074
_cell_length_c 9.9356
_cell_angle_alpha 90.00
_cell_angle_beta 90.00
_cell_angle_gamma 90.00
loop_
_symmetry_equiv_pos_as_xyz
'x,y,z'
loop_
_atom_site_label
_atom_site_type_symbol
_atom_site_fract_x
_atom_site_fract_y
_atom_site_fract_z
_atom_site_occupancy
La1 La 0.0000 0.0000 0.2479 1
La2 La 0.0000 0.0000 0.7521 1
Tb1 Tb 0.5000 0.5000 0.5000 1
Er1 Er 0.5000 0.5000 0.0000 1
```

---

(2)
Crystalline AcPaCuRh at its relaxed geometry. Source: Alexandria via LeMat-Bulk, functional PBE-GGA.

Energy of formation = -99 meV/atom
Electronic total energy = -6.3616 eV per atom
Magnetization = 0.171 μB per atom

The structure in CIF format:
```
data_AcPaCuRh
_symmetry_space_group_name_H-M 'P 1'
_symmetry_Int_Tables_number 1
_cell_length_a 5.0758
_cell_length_b 5.0758
_cell_length_c 5.0758
_cell_angle_alpha 60.00
_cell_angle_beta 60.00
_cell_angle_gamma 60.00
loop_
_symmetry_equiv_pos_as_xyz
'x,y,z'
loop_
_atom_site_label
_atom_site_type_symbol
_atom_site_fract_x
_atom_site_fract_y
_atom_site_fract_z
_atom_site_occupancy
Ac1 Ac 0.0000 0.0000 0.0000 1
Pa1 Pa 0.5000 0.5000 0.5000 1
Cu1 Cu 0.2500 0.2500 0.2500 1
Rh1 Rh 0.7500 0.7500 0.7500 1
```

---

(3)
Crystalline RbHfRe2 at its relaxed geometry. Source: Alexandria via LeMat-Bulk, functional PBE-GGA.

Energy of formation = 1751 meV/atom
Electronic total energy = -7.2037 eV per atom
Magnetization = 0.000 μB per atom

The structure in CIF format:
```
data_RbHfRe2
_symmetry_space_group_name_H-M 'P 1'
_symmetry_Int_Tables_number 1
_cell_length_a 4.8142
_cell_length_b 4.8142
_cell_length_c 4.8142
_cell_angle_alpha 60.00
_cell_angle_beta 60.00
_cell_angle_gamma 60.00
loop_
_symmetry_equiv_pos_as_xyz
'x,y,z'
loop_
_atom_site_label
_atom_site_type_symbol
_atom_site_fract_x
_atom_site_fract_y
_atom_site_fract_z
_atom_site_occupancy
Rb1 Rb 0.0000 0.0000 0.0000 1
Hf1 Hf 0.5000 0.5000 0.5000 1
Re1 Re 0.2500 0.2500 0.2500 1
Re2 Re 0.7500 0.7500 0.7500 1
```

---

(4)
Crystalline Tb2Pr4Tm3 at its relaxed geometry. Source: Alexandria via LeMat-Bulk, functional PBE-GGA.

Energy of formation = 87 meV/atom
Electronic total energy = -4.5565 eV per atom
Magnetization = 0.000 μB per atom

The structure in CIF format:
```
data_Tb2Pr4Tm3
_symmetry_space_group_name_H-M 'P 1'
_symmetry_Int_Tables_number 1
_cell_length_a 10.0693
_cell_length_b 10.0693
_cell_length_c 6.2205
_cell_angle_alpha 94.98
_cell_angle_beta 94.98
_cell_angle_gamma 71.75
loop_
_symmetry_equiv_pos_as_xyz
'x,y,z'
loop_
_atom_site_label
_atom_site_type_symbol
_atom_site_fract_x
_atom_site_fract_y
_atom_site_fract_z
_atom_site_occupancy
Tb1 Tb 0.0771 0.3562 0.3488 1
Tb2 Tb 0.3562 0.0771 0.8488 1
Tb3 Tb 0.6438 0.9229 0.1512 1
Tb4 Tb 0.9229 0.6438 0.6512 1
Pr1 Pr 0.0193 0.7381 0.1780 1
Pr2 Pr 0.2619 0.9807 0.3220 1
Pr3 Pr 0.3080 0.5938 0.4864 1
Pr4 Pr 0.4062 0.6920 0.0136 1
Pr5 Pr 0.5938 0.3080 0.9864 1
Pr6 Pr 0.6920 0.4062 0.5136 1
Pr7 Pr 0.7381 0.0193 0.6780 1
Pr8 Pr 0.9807 0.2619 0.8220 1
Tm1 Tm 0.0975 0.9025 0.7500 1
Tm2 Tm 0.2313 0.4336 0.9110 1
Tm3 Tm 0.4336 0.2313 0.4110 1
Tm4 Tm 0.5664 0.7687 0.5890 1
Tm5 Tm 0.7687 0.5664 0.0890 1
Tm6 Tm 0.9025 0.0975 0.2500 1
```

---

(5)
Crystalline BaMgZnAs2 at its relaxed geometry. Source: Alexandria via LeMat-Bulk, functional PBE-GGA.

Energy of formation = -707 meV/atom
Electronic total energy = -3.5251 eV per atom
Magnetization = 0.000 μB per atom

The structure in CIF format:
```
data_BaMgZnAs2
_symmetry_space_group_name_H-M 'P 1'
_symmetry_Int_Tables_number 1
_cell_length_a 7.7000
_cell_length_b 6.0163
_cell_length_c 6.2749
_cell_angle_alpha 90.00
_cell_angle_beta 114.00
_cell_angle_gamma 90.00
loop_
_symmetry_equiv_pos_as_xyz
'x,y,z'
loop_
_atom_site_label
_atom_site_type_symbol
_atom_site_fract_x
_atom_site_fract_y
_atom_site_fract_z
_atom_site_occupancy
Ba1 Ba 0.0000 0.2403 0.2500 1
Ba2 Ba 0.0000 0.7597 0.7500 1
Mg1 Mg 0.5000 0.5003 0.2500 1
Mg2 Mg 0.5000 0.4997 0.7500 1
Zn1 Zn 0.5000 0.0000 0.0000 1
Zn2 Zn 0.5000 0.0000 0.5000 1
As1 As 0.2552 0.2649 0.8779 1
As2 As 0.2552 0.7351 0.3779 1
As3 As 0.7448 0.2649 0.6221 1
As4 As 0.7448 0.7351 0.1221 1
```

---

(6)
Crystalline CdBRh3 at its relaxed geometry. Source: Alexandria via LeMat-Bulk, functional PBE-GGA.

Energy of formation = -138 meV/atom
Electronic total energy = -6.0674 eV per atom
Magnetization = 0.000 μB per atom

The structure in CIF format:
```
data_CdBRh3
_symmetry_space_group_name_H-M 'P 1'
_symmetry_Int_Tables_number 1
_cell_length_a 7.4788
_cell_length_b 4.8780
_cell_length_c 10.2469
_cell_angle_alpha 90.00
_cell_angle_beta 130.70
_cell_angle_gamma 90.00
loop_
_symmetry_equiv_pos_as_xyz
'x,y,z'
loop_
_atom_site_label
_atom_site_type_symbol
_atom_site_fract_x
_atom_site_fract_y
_atom_site_fract_z
_atom_site_occupancy
Cd1 Cd 0.2225 0.2040 0.1879 1
Cd2 Cd 0.2225 0.2960 0.6879 1
Cd3 Cd 0.7775 0.7040 0.3121 1
Cd4 Cd 0.7775 0.7960 0.8121 1
B1 B 0.2317 0.5333 0.4011 1
B2 B 0.2317 0.9667 0.9011 1
B3 B 0.7683 0.0333 0.0989 1
B4 B 0.7683 0.4667 0.5989 1
Rh1 Rh 0.0068 0.2079 0.3392 1
Rh2 Rh 0.0068 0.2921 0.8392 1
Rh3 Rh 0.2865 0.7091 0.0775 1
Rh4 Rh 0.2865 0.7909 0.5775 1
Rh5 Rh 0.4956 0.2489 0.0688 1
Rh6 Rh 0.4956 0.2511 0.5688 1
Rh7 Rh 0.5044 0.7489 0.4312 1
Rh8 Rh 0.5044 0.7511 0.9312 1
Rh9 Rh 0.7135 0.2091 0.4225 1
Rh10 Rh 0.7135 0.2909 0.9225 1
Rh11 Rh 0.9932 0.7079 0.1608 1
Rh12 Rh 0.9932 0.7921 0.6608 1
```

---

(7)
Crystalline Sc12Ni6Pb at its relaxed geometry. Source: Alexandria via LeMat-Bulk, functional PBE-GGA.

Energy of formation = -399 meV/atom
Electronic total energy = -6.4192 eV per atom
Magnetization = 0.000 μB per atom

The structure in CIF format:
```
data_Sc12Ni6Pb
_symmetry_space_group_name_H-M 'P 1'
_symmetry_Int_Tables_number 1
_cell_length_a 7.8608
_cell_length_b 7.8608
_cell_length_c 7.8608
_cell_angle_alpha 109.47
_cell_angle_beta 109.47
_cell_angle_gamma 109.47
loop_
_symmetry_equiv_pos_as_xyz
'x,y,z'
loop_
_atom_site_label
_atom_site_type_symbol
_atom_site_fract_x
_atom_site_fract_y
_atom_site_fract_z
_atom_site_occupancy
Sc1 Sc 0.1101 0.8108 0.2994 1
Sc2 Sc 0.1892 0.2994 0.4886 1
Sc3 Sc 0.1892 0.7006 0.8899 1
Sc4 Sc 0.2994 0.1101 0.8108 1
Sc5 Sc 0.2994 0.4886 0.1892 1
Sc6 Sc 0.4886 0.1892 0.2994 1
Sc7 Sc 0.5114 0.8108 0.7006 1
Sc8 Sc 0.7006 0.5114 0.8108 1
Sc9 Sc 0.7006 0.8899 0.1892 1
Sc10 Sc 0.8108 0.2994 0.1101 1
Sc11 Sc 0.8108 0.7006 0.5114 1
Sc12 Sc 0.8899 0.1892 0.7006 1
Ni1 Ni 0.1306 0.6306 0.5000 1
Ni2 Ni 0.3694 0.5000 0.8694 1
Ni3 Ni 0.5000 0.1306 0.6306 1
Ni4 Ni 0.5000 0.8694 0.3694 1
Ni5 Ni 0.6306 0.5000 0.1306 1
Ni6 Ni 0.8694 0.3694 0.5000 1
Pb1 Pb 0.0000 0.0000 0.0000 1
```

---

(8)
Crystalline Dy2Si2GeRu5 at its relaxed geometry. Source: Alexandria via LeMat-Bulk, functional PBE-GGA.

Raw formation energy = -62.62 kJ/mol of atoms
Electronic total energy = -7.7537 eV per atom
Magnetization = 0.000 μB per atom

The structure in CIF format:
```
data_Dy2Si2GeRu5
_symmetry_space_group_name_H-M 'P 1'
_symmetry_Int_Tables_number 1
_cell_length_a 9.9829
_cell_length_b 9.9829
_cell_length_c 3.2060
_cell_angle_alpha 90.00
_cell_angle_beta 90.00
_cell_angle_gamma 90.00
loop_
_symmetry_equiv_pos_as_xyz
'x,y,z'
loop_
_atom_site_label
_atom_site_type_symbol
_atom_site_fract_x
_atom_site_fract_y
_atom_site_fract_z
_atom_site_occupancy
Dy1 Dy 0.1734 0.3266 0.0000 1
Dy2 Dy 0.3266 0.8266 0.0000 1
Dy3 Dy 0.6734 0.1734 0.0000 1
Dy4 Dy 0.8266 0.6734 0.0000 1
Si1 Si 0.1274 0.6274 0.0000 1
Si2 Si 0.3726 0.1274 0.0000 1
Si3 Si 0.6274 0.8726 0.0000 1
Si4 Si 0.8726 0.3726 0.0000 1
Ge1 Ge 0.0000 0.0000 0.0000 1
Ge2 Ge 0.5000 0.5000 0.0000 1
Ru1 Ru 0.0000 0.5000 0.5000 1
Ru2 Ru 0.0661 0.7946 0.5000 1
Ru3 Ru 0.2054 0.0661 0.5000 1
Ru4 Ru 0.2946 0.5661 0.5000 1
Ru5 Ru 0.4339 0.2946 0.5000 1
Ru6 Ru 0.5000 0.0000 0.5000 1
Ru7 Ru 0.5661 0.7054 0.5000 1
Ru8 Ru 0.7054 0.4339 0.5000 1
Ru9 Ru 0.7946 0.9339 0.5000 1
Ru10 Ru 0.9339 0.2054 0.5000 1
```

---

(9)
Crystalline Tm2ReBiO8 at its relaxed geometry. Source: Alexandria via LeMat-Bulk, functional PBE-GGA.

Raw formation energy = -225.61 kJ/mol of atoms
Electronic total energy = -7.7497 eV per atom
Magnetization = 0.000 μB per atom

The structure in CIF format:
```
data_Tm2ReBiO8
_symmetry_space_group_name_H-M 'P 1'
_symmetry_Int_Tables_number 1
_cell_length_a 5.0076
_cell_length_b 6.7960
_cell_length_c 5.0114
_cell_angle_alpha 90.00
_cell_angle_beta 90.32
_cell_angle_gamma 90.00
loop_
_symmetry_equiv_pos_as_xyz
'x,y,z'
loop_
_atom_site_label
_atom_site_type_symbol
_atom_site_fract_x
_atom_site_fract_y
_atom_site_fract_z
_atom_site_occupancy
Tm1 Tm 0.0000 0.2494 0.0000 1
Tm2 Tm 0.0000 0.7506 0.0000 1
Re1 Re 0.5000 0.5000 0.5000 1
Bi1 Bi 0.5000 0.0000 0.5000 1
O1 O 0.1855 0.0000 0.1839 1
O2 O 0.2303 0.5000 0.2293 1
O3 O 0.3139 0.2953 0.6850 1
O4 O 0.3139 0.7047 0.6850 1
O5 O 0.6861 0.2953 0.3150 1
O6 O 0.6861 0.7047 0.3150 1
O7 O 0.7697 0.5000 0.7707 1
O8 O 0.8145 0.0000 0.8161 1
```

---

(10)
Crystalline Mg2InSbS at its relaxed geometry. Source: Alexandria via LeMat-Bulk, functional PBE-GGA.

Raw formation energy = -8.64 kJ/mol of atoms
Electronic total energy = -2.9251 eV per atom
Magnetization = 0.000 μB per atom

The structure in CIF format:
```
data_Mg2InSbS
_symmetry_space_group_name_H-M 'P 1'
_symmetry_Int_Tables_number 1
_cell_length_a 4.8233
_cell_length_b 4.8233
_cell_length_c 5.5510
_cell_angle_alpha 90.00
_cell_angle_beta 90.00
_cell_angle_gamma 90.00
loop_
_symmetry_equiv_pos_as_xyz
'x,y,z'
loop_
_atom_site_label
_atom_site_type_symbol
_atom_site_fract_x
_atom_site_fract_y
_atom_site_fract_z
_atom_site_occupancy
Mg1 Mg 0.0000 0.5000 0.0000 1
Mg2 Mg 0.5000 0.0000 0.0000 1
In1 In 0.0000 0.0000 0.5000 1
Sb1 Sb 0.5000 0.5000 0.5000 1
S1 S 0.5000 0.5000 0.0000 1
```